{
  "formula": "Cs2Hg3F8",
  "functional": "PBE",
  "state": "relaxed",
  "lattice": [[6.901, -3.687, 0.000], [6.901, 3.687, 0.000], [-2.154, 0.000, 5.904]],
  "species": ["Cs", "Cs", "Hg", "Hg", "Hg", "F", "F", "F", "F", "F", "F", "F", "F"],
  "fractional_positions": [[0.218, 0.218, 0.172], [0.782, 0.782, 0.828], [0.244, 0.756, 0.500], [0.500, 0.500, 0.000], [0.756, 0.244, 0.500], [0.107, 0.107, 0.497], [0.194, 0.617, 0.117], [0.383, 0.806, 0.883], [0.410, 0.410, 0.590], [0.590, 0.590, 0.410], [0.617, 0.194, 0.117], [0.806, 0.383, 0.883], [0.893, 0.893, 0.503]],
  "sg": "C2/m",
  "e_tot_ev_per_atom": -3.221,
  "total_magnetization_mub_per_atom": 0.000
}

---

{
  "formula": "Rb2CrP2",
  "functional": "PBE",
  "state": "relaxed",
  "lattice": [[6.515, 0.000, 0.000], [0.000, 6.515, 0.000], [0.000, 0.000, 5.757]],
  "species": ["Rb", "Rb", "Rb", "Rb", "Cr", "Cr", "P", "P", "P", "P"],
  "fractional_positions": [[0.177, 0.323, 0.000], [0.323, 0.823, 0.000], [0.677, 0.177, 0.000], [0.823, 0.677, 0.000], [0.000, 0.000, 0.500], [0.500, 0.500, 0.500], [0.125, 0.625, 0.500], [0.375, 0.125, 0.500], [0.625, 0.875, 0.500], [0.875, 0.375, 0.500]],
  "sg": "P4/mbm",
  "total_magnetization_mub_per_atom": 0.774,
  "formation_energy_ev_per_atom": -0.020
}

---

{
  "formula": "SeIBr4",
  "functional": "PBE",
  "state": "relaxed",
  "lattice": [[7.440, 0.000, 0.000], [0.000, 7.440, 0.000], [0.000, 0.000, 8.265]],
  "species": ["Se", "Se", "I", "I", "Br", "Br", "Br", "Br", "Br", "Br", "Br", "Br"],
  "fractional_positions": [[0.000, 0.000, 0.000], [0.500, 0.500, 0.500], [0.000, 0.500, 0.250], [0.500, 0.000, 0.750], [0.242, 0.245, 0.000], [0.245, 0.758, 0.000], [0.255, 0.742, 0.500], [0.258, 0.255, 0.500], [0.742, 0.745, 0.500], [0.745, 0.258, 0.500], [0.755, 0.242, 0.000], [0.758, 0.755, 0.000]],
  "sg": "I-4",
  "e_tot_ev_per_atom": -1.857,
  "total_magnetization_mub_per_atom": 0.000
}